# 1
The following is a DFT calculation (PBE) of a relaxed structure of FeP2CCl.

Cell lengths 4.230, 4.230, 4.822 Å; angles 90.00, 90.00, 90.00 degrees
Site moments in Bohr magnetons follow the coordinates.
Fractional positions:
P1 0.000 0.500 0.000  -0.05
P2 0.500 0.000 0.000  -0.05
Fe1 0.000 0.000 0.000  0.05
C1 0.500 0.500 0.500  0.70
Cl1 0.000 0.000 0.500  0.00

size of the total moment	1.3	μB/f.u.
formation energy from raw total energies	1.603	eV/atom
relative energy among the computed polymorphs	1.24	eV per formula unit

=====

# 2
The following is a DFT calculation (PBE) of a relaxed structure of FePCCl2.

Cell lengths 4.656, 4.656, 4.485 Å; angles 90.00, 90.00, 90.00 degrees
Site moments in Bohr magnetons follow the coordinates.
Fractional positions:
C1 0.500 0.500 0.500  0.85
Fe1 0.000 0.000 0.000  2.41
P1 0.000 0.000 0.500  -0.32
Cl1 0.000 0.500 0.000  0.03
Cl2 0.500 0.000 0.000  0.03

size of the total moment	3.7	μB/f.u.
formation energy from raw total energies	1.470	eV/atom
relative energy among the computed polymorphs	0.46	eV per formula unit

=====

# 3
The following is a DFT calculation (PBE) of a relaxed structure of FePCCl2.

Cell lengths 4.399, 4.399, 4.090 Å; angles 90.00, 90.00, 90.00 degrees
Site moments in Bohr magnetons follow the coordinates.
Fractional positions:
Cl1 0.000 0.500 0.000  0.05
Cl2 0.500 0.000 0.000  0.05
C1 0.000 0.000 0.000  0.00
P1 0.000 0.000 0.500  0.05
Fe1 0.500 0.500 0.500  3.35

size of the total moment	3.7	μB/f.u.
formation energy from raw total energies	1.377	eV/atom
relative energy among the computed polymorphs	0.00	eV per formula unit

=====

# 4
The following is a DFT calculation (PBE) of a relaxed structure of RbFe2CCl.

Cell lengths 4.254, 6.405, 4.254 Å; angles 90.00, 90.00, 90.00 degrees
Site moments in Bohr magnetons follow the coordinates.
Fractional positions:
Cl1 0.000 0.000 0.000  0.06
C1 0.500 0.500 0.500  0.26
Rb1 0.000 0.500 0.000  -0.01
Fe1 0.500 0.000 0.000  2.98
Fe2 0.000 0.000 0.500  2.28

size of the total moment	5.8	μB/f.u.
formation energy from raw total energies	1.820	eV/atom

=====

Table of E (eV/cell), in record order: -22.34, -19.44, -19.90, -19.86